[1]
KTeW2, optimized geometry, DFT PBE; VASP energy = -6.92 eV/atom
1.0
10.0762 -0.0248 -0.0146
9.5117 3.3254 -0.0146
9.5117 1.6027 2.9137
K W Te
1 2 1
direct
0.5002 0.5002 0.5002 K
0.2726 0.2726 0.2726 W
0.9943 0.9943 0.9943 W
0.7329 0.7329 0.7329 Te

[2]
K2TeW, optimized geometry, DFT PBE; VASP energy = -3.66 eV/atom
1.0
-4.1483 1.5506 3.2958
-0.0328 -5.3898 -1.1932
2.7255 -0.8681 3.8408
W K Te
1 2 1
direct
0.0000 0.5000 0.5000 W
0.5000 0.5000 0.0000 K
0.0000 0.0000 0.0000 K
0.5000 0.0000 0.5000 Te

[3]
K2ZnTeW, optimized geometry, DFT PBE; VASP energy = -3.11 eV/atom
1.0
6.7982 0.0000 0.0000
0.0000 5.1632 0.0000
0.0000 0.0000 6.7982
Te W Zn K
1 1 1 2
direct
0.0000 0.5000 0.0000 Te
0.0000 0.0000 0.0000 W
0.5000 0.5000 0.5000 Zn
0.0000 0.0000 0.5000 K
0.5000 0.0000 0.0000 K

[4]
KYTe2, optimized geometry, DFT PBE; VASP energy = -4.29 eV/atom
1.0
-3.6897 -4.9855 2.6346
-2.2169 -5.2118 -3.6514
5.6532 3.4658 1.1997
Te K Y
2 1 1
direct
0.2500 0.7500 0.5000 Te
0.0000 0.0000 0.0000 Te
0.7500 0.2500 0.5000 K
0.5000 0.5000 0.0000 Y

The records above yield E_form (uncorrected) values of 2.450 3.644 4.033 -3.331 eV/f.u., respectively.